(1)
DFT (PBE) results for Dy4PdRu3 after structural relaxation.

Summary:
Its formation energy is -0.506 eV per atom. As for the calculated volume: 20.0 Å³/atom. The crystal system is tetragonal.

abc: 4.845 4.845 6.822
angles: 90.00 90.00 90.00
Atoms (fractional coordinates):
Dy (0.000, 0.500, 0.245)
Dy (0.000, 0.500, 0.755)
Dy (0.500, 0.000, 0.245)
Dy (0.500, 0.000, 0.755)
Pd (0.000, 0.000, 0.500)
Ru (0.000, 0.000, 0.000)
Ru (0.500, 0.500, 0.000)
Ru (0.500, 0.500, 0.500)


(2)
DFT (PBE) results for DySi2PdRu after structural relaxation.

Summary:
Its energy relative to the elements, uncorrected is -911 meV per atom. As for the calculated volume: 16.7 Å³/atom. The crystal system is tetragonal.

abc: 5.801 5.801 5.801
angles: 138.84 138.84 59.63
Atoms (fractional coordinates):
Dy (0.000, 0.000, 0.000)
Si (0.380, 0.380, 0.000)
Si (0.620, 0.620, 0.000)
Pd (0.750, 0.250, 0.500)
Ru (0.250, 0.750, 0.500)


(3)
DFT (PBE) results for DyThPdRu after structural relaxation.

Summary:
Its formation energy is -0.692 eV per atom. As for the calculated volume: 22.6 Å³/atom. The offset from the most stable computed form is 0.0 kJ/mol of atoms. The crystal system is orthorhombic.

abc: 4.109 5.972 5.972
angles: 38.06 90.00 90.00
Atoms (fractional coordinates):
Dy (0.000, 0.000, 0.000)
Th (0.500, 0.279, 0.279)
Pd (0.500, 0.556, 0.556)
Ru (0.000, 0.738, 0.738)


(4)
DFT (PBE) results for DyThPdRu after structural relaxation.

Summary:
Its formation energy is -0.587 eV per atom. As for the calculated volume: 22.0 Å³/atom. The offset from the most stable computed form is 10.1 kJ/mol of atoms. The crystal system is cubic.

abc: 4.992 4.992 4.992
angles: 60.00 60.00 60.00
Atoms (fractional coordinates):
Dy (0.000, 0.000, 0.000)
Th (0.500, 0.500, 0.500)
Pd (0.250, 0.250, 0.250)
Ru (0.750, 0.750, 0.750)


(5)
DFT (PBE) results for DyTiPdRu after structural relaxation.

Summary:
Its formation energy is -0.496 eV per atom. As for the calculated volume: 17.8 Å³/atom. The crystal system is cubic.

abc: 4.651 4.651 4.651
angles: 60.00 60.00 60.00
Atoms (fractional coordinates):
Dy (0.000, 0.000, 0.000)
Ti (0.500, 0.500, 0.500)
Pd (0.250, 0.250, 0.250)
Ru (0.750, 0.750, 0.750)


(6)
DFT (PBE) results for Dy4TlPdRu2 after structural relaxation.

Summary:
Its formation energy is -0.444 eV per atom. As for the calculated volume: 21.9 Å³/atom. The crystal system is trigonal.

abc: 8.672 8.672 8.672
angles: 33.31 33.31 33.31
Atoms (fractional coordinates):
Dy (0.119, 0.119, 0.119)
Dy (0.371, 0.371, 0.371)
Dy (0.629, 0.629, 0.629)
Dy (0.881, 0.881, 0.881)
Tl (0.500, 0.500, 0.500)
Pd (0.000, 0.000, 0.000)
Ru (0.250, 0.250, 0.250)
Ru (0.750, 0.750, 0.750)


(7)
DFT (PBE) results for DyTlPdRu after structural relaxation.

Summary:
Its formation energy is -0.300 eV per atom. As for the calculated volume: 19.2 Å³/atom. The crystal system is cubic.

abc: 4.768 4.768 4.768
angles: 60.00 60.00 60.00
Atoms (fractional coordinates):
Dy (0.000, 0.000, 0.000)
Tl (0.500, 0.500, 0.500)
Pd (0.750, 0.750, 0.750)
Ru (0.250, 0.250, 0.250)


(8)
DFT (PBE) results for DyTmPdRu after structural relaxation.

Summary:
Its formation energy is -0.685 eV per atom. As for the calculated volume: 20.1 Å³/atom. The offset from the most stable computed form is 3.6 kJ/mol of atoms. The crystal system is cubic.

abc: 4.842 4.842 4.842
angles: 60.00 60.00 60.00
Atoms (fractional coordinates):
Dy (0.000, 0.000, 0.000)
Tm (0.500, 0.500, 0.500)
Pd (0.250, 0.250, 0.250)
Ru (0.750, 0.750, 0.750)


(9)
DFT (PBE) results for Dy3Tm3PdRu2 after structural relaxation.

Summary:
Its formation energy is -0.391 eV per atom. As for the calculated volume: 23.9 Å³/atom. The crystal system is hexagonal.

abc: 7.260 7.260 4.712
angles: 90.00 90.00 120.00
Atoms (fractional coordinates):
Dy (0.000, 0.732, 0.000)
Dy (0.268, 0.268, 0.000)
Dy (0.732, 0.000, 0.000)
Tm (0.000, 0.414, 0.500)
Tm (0.414, 0.000, 0.500)
Tm (0.586, 0.586, 0.500)
Pd (0.000, 0.000, 0.500)
Ru (0.333, 0.667, 0.000)
Ru (0.667, 0.333, 0.000)


(10)
DFT (PBE) results for DyTmPdRu after structural relaxation.

Summary:
Its formation energy is -0.722 eV per atom. As for the calculated volume: 20.2 Å³/atom. The offset from the most stable computed form is 0.0 kJ/mol of atoms. The crystal system is tetragonal.

abc: 3.428 3.428 6.860
angles: 90.00 90.00 90.00
Atoms (fractional coordinates):
Dy (0.000, 0.000, 0.000)
Tm (0.000, 0.000, 0.480)
Pd (0.500, 0.500, 0.735)
Ru (0.500, 0.500, 0.244)


(11)
DFT (PBE) results for DyYPdRu after structural relaxation.

Summary:
Its formation energy is -0.665 eV per atom. As for the calculated volume: 20.7 Å³/atom. The offset from the most stable computed form is 0.0 kJ/mol of atoms. The crystal system is tetragonal.

abc: 3.452 3.452 6.946
angles: 90.00 90.00 90.00
Atoms (fractional coordinates):
Dy (0.000, 0.000, 0.000)
Y (0.000, 0.000, 0.520)
Pd (0.500, 0.500, 0.257)
Ru (0.500, 0.500, 0.763)


(12)
DFT (PBE) results for DyYPdRu after structural relaxation.

Summary:
Its formation energy is -0.632 eV per atom. As for the calculated volume: 20.6 Å³/atom. The offset from the most stable computed form is 3.2 kJ/mol of atoms. The crystal system is cubic.

abc: 4.884 4.884 4.884
angles: 60.00 60.00 60.00
Atoms (fractional coordinates):
Dy (0.000, 0.000, 0.000)
Y (0.500, 0.500, 0.500)
Pd (0.250, 0.250, 0.250)
Ru (0.750, 0.750, 0.750)


(13)
DFT (PBE) results for Dy2Zn5PdRu2 after structural relaxation.

Summary:
Its formation energy is -0.278 eV per atom. As for the calculated volume: 17.5 Å³/atom. The crystal system is tetragonal.

abc: 9.875 9.875 3.580
angles: 90.00 90.00 90.00
Atoms (fractional coordinates):
Dy (0.176, 0.324, 0.000)
Dy (0.324, 0.824, 0.000)
Dy (0.676, 0.176, 0.000)
Dy (0.824, 0.676, 0.000)
Zn (0.000, 0.500, 0.500)
Zn (0.055, 0.809, 0.500)
Zn (0.191, 0.055, 0.500)
Zn (0.309, 0.555, 0.500)
Zn (0.445, 0.309, 0.500)
Zn (0.500, 0.000, 0.500)
Zn (0.555, 0.691, 0.500)
Zn (0.691, 0.445, 0.500)
Zn (0.809, 0.945, 0.500)
Zn (0.945, 0.191, 0.500)
Pd (0.000, 0.000, 0.000)
Pd (0.500, 0.500, 0.000)
Ru (0.131, 0.631, 0.000)
Ru (0.369, 0.131, 0.000)
Ru (0.631, 0.869, 0.000)
Ru (0.869, 0.369, 0.000)


(14)
DFT (PBE) results for Dy5PdS4 after structural relaxation.

Summary:
Its energy relative to the elements, uncorrected is -1744 meV per atom. As for the calculated volume: 21.8 Å³/atom. The crystal system is monoclinic.

abc: 6.919 6.919 9.771
angles: 118.74 118.74 32.54
Atoms (fractional coordinates):
Dy (0.000, 0.000, 0.000)
Dy (0.202, 0.202, 0.805)
Dy (0.399, 0.399, 0.602)
Dy (0.601, 0.601, 0.398)
Dy (0.798, 0.798, 0.195)
Pd (0.000, 0.000, 0.500)
S (0.200, 0.200, 0.297)
S (0.400, 0.400, 0.096)
S (0.600, 0.600, 0.904)
S (0.800, 0.800, 0.703)


(15)
DFT (PBE) results for Dy4PdS3 after structural relaxation.

Summary:
Its energy relative to the elements, uncorrected is -1667 meV per atom. As for the calculated volume: 22.0 Å³/atom. The crystal system is hexagonal.

abc: 3.865 3.865 27.243
angles: 90.00 90.00 120.00
Atoms (fractional coordinates):
Dy (0.000, 0.000, 0.182)
Dy (0.000, 0.000, 0.318)
Dy (0.000, 0.000, 0.682)
Dy (0.000, 0.000, 0.818)
Dy (0.333, 0.667, 0.060)
Dy (0.333, 0.667, 0.440)
Dy (0.667, 0.333, 0.560)
Dy (0.667, 0.333, 0.940)
Pd (0.333, 0.667, 0.250)
Pd (0.667, 0.333, 0.750)
S (0.000, 0.000, 0.000)
S (0.000, 0.000, 0.500)
S (0.333, 0.667, 0.619)
S (0.333, 0.667, 0.881)
S (0.667, 0.333, 0.119)
S (0.667, 0.333, 0.381)


(16)
DFT (PBE) results for Dy6Pd2S after structural relaxation.

Summary:
Its energy relative to the elements, uncorrected is -832 meV per atom. As for the calculated volume: 26.1 Å³/atom. The crystal system is monoclinic.

abc: 6.492 7.235 11.751
angles: 90.00 121.48 90.00
Atoms (fractional coordinates):
Dy (0.093, 0.188, 0.433)
Dy (0.093, 0.312, 0.933)
Dy (0.260, 0.670, 0.432)
Dy (0.260, 0.830, 0.932)
Dy (0.395, 0.036, 0.245)
Dy (0.395, 0.464, 0.745)
Dy (0.605, 0.536, 0.255)
Dy (0.605, 0.964, 0.755)
Dy (0.740, 0.170, 0.068)
Dy (0.740, 0.330, 0.568)
Dy (0.907, 0.688, 0.067)
Dy (0.907, 0.812, 0.567)
Pd (0.179, 0.115, 0.741)
Pd (0.179, 0.385, 0.241)
Pd (0.821, 0.615, 0.759)
Pd (0.821, 0.885, 0.259)
S (0.500, 0.000, 0.500)
S (0.500, 0.500, 0.000)


(17)
DFT (PBE) results for DyPdS after structural relaxation.

Summary:
Its energy relative to the elements, uncorrected is -1340 meV per atom. As for the calculated volume: 20.1 Å³/atom. The crystal system is monoclinic.

abc: 5.902 5.902 5.508
angles: 101.88 101.88 40.21
Atoms (fractional coordinates):
Dy (0.151, 0.151, 0.200)
Dy (0.849, 0.849, 0.800)
Pd (0.445, 0.445, 0.199)
Pd (0.555, 0.555, 0.801)
S (0.168, 0.168, 0.699)
S (0.832, 0.832, 0.301)


(18)
DFT (PBE) results for Dy6PdS5 after structural relaxation.

Summary:
Its energy relative to the elements, uncorrected is -1799 meV per atom. As for the calculated volume: 21.6 Å³/atom. The crystal system is monoclinic.

abc: 6.823 6.823 6.815
angles: 99.66 99.66 119.96
Atoms (fractional coordinates):
Dy (0.078, 0.418, 0.749)
Dy (0.246, 0.246, 0.254)
Dy (0.418, 0.078, 0.749)
Dy (0.582, 0.922, 0.251)
Dy (0.754, 0.754, 0.746)
Dy (0.922, 0.582, 0.251)
Pd (0.500, 0.500, 0.000)
S (0.000, 0.000, 0.500)
S (0.166, 0.834, 0.000)
S (0.332, 0.668, 0.500)
S (0.668, 0.332, 0.500)
S (0.834, 0.166, 0.000)


(19)
DFT (PBE) results for Dy4PdSeS2 after structural relaxation.

Summary:
Its energy relative to the elements, uncorrected is -1616 meV per atom. As for the calculated volume: 22.6 Å³/atom. The crystal system is monoclinic.

abc: 6.947 3.922 7.003
angles: 90.00 108.69 90.00
Atoms (fractional coordinates):
Dy (0.244, 0.000, 0.235)
Dy (0.248, 0.500, 0.758)
Dy (0.752, 0.500, 0.242)
Dy (0.756, 0.000, 0.765)
Pd (0.000, 0.000, 0.500)
Se (0.500, 0.500, 0.500)
S (0.000, 0.500, 0.000)
S (0.500, 0.000, 0.000)


(20)
DFT (PBE) results for Dy6PdSe2S3 after structural relaxation.

Summary:
Its energy relative to the elements, uncorrected is -1708 meV per atom. As for the calculated volume: 22.6 Å³/atom. The crystal system is monoclinic.

abc: 8.974 8.974 8.096
angles: 103.05 103.05 25.33
Atoms (fractional coordinates):
Dy (0.003, 0.003, 0.252)
Dy (0.331, 0.331, 0.426)
Dy (0.338, 0.338, 0.905)
Dy (0.662, 0.662, 0.095)
Dy (0.669, 0.669, 0.574)
Dy (0.997, 0.997, 0.748)
Pd (0.500, 0.500, 0.500)
Se (0.168, 0.168, 0.838)
Se (0.832, 0.832, 0.162)
S (0.169, 0.169, 0.335)
S (0.500, 0.500, 0.000)
S (0.831, 0.831, 0.665)


(21)
DFT (PBE) results for Dy2SbPd9 after structural relaxation.

Summary:
Its energy relative to the elements, uncorrected is -722 meV per atom. As for the calculated volume: 17.2 Å³/atom. The crystal system is tetragonal.

abc: 4.105 4.105 12.253
angles: 90.00 90.00 90.00
Atoms (fractional coordinates):
Dy (0.000, 0.000, 0.166)
Dy (0.000, 0.000, 0.834)
Sb (0.000, 0.000, 0.500)
Pd (0.000, 0.500, 0.000)
Pd (0.000, 0.500, 0.340)
Pd (0.000, 0.500, 0.660)
Pd (0.500, 0.000, 0.000)
Pd (0.500, 0.000, 0.340)
Pd (0.500, 0.000, 0.660)
Pd (0.500, 0.500, 0.172)
Pd (0.500, 0.500, 0.500)
Pd (0.500, 0.500, 0.828)


(22)
DFT (PBE) results for Dy12SbPd6 after structural relaxation.

Summary:
Its energy relative to the elements, uncorrected is -667 meV per atom. As for the calculated volume: 26.1 Å³/atom. The crystal system is cubic.

abc: 8.636 8.636 8.636
angles: 109.47 109.47 109.47
Atoms (fractional coordinates):
Dy (0.113, 0.815, 0.298)
Dy (0.185, 0.298, 0.484)
Dy (0.185, 0.702, 0.887)
Dy (0.298, 0.113, 0.815)
Dy (0.298, 0.484, 0.185)
Dy (0.484, 0.185, 0.298)
Dy (0.516, 0.815, 0.702)
Dy (0.702, 0.516, 0.815)
Dy (0.702, 0.887, 0.185)
Dy (0.815, 0.298, 0.113)
Dy (0.815, 0.702, 0.516)
Dy (0.887, 0.185, 0.702)
Sb (0.000, 0.000, 0.000)
Pd (0.137, 0.637, 0.500)
Pd (0.363, 0.500, 0.863)
Pd (0.500, 0.137, 0.637)
Pd (0.500, 0.863, 0.363)
Pd (0.637, 0.500, 0.137)
Pd (0.863, 0.363, 0.500)


(23)
DFT (PBE) results for DySbPd after structural relaxation.

Summary:
Its energy relative to the elements, uncorrected is -676 meV per atom. As for the calculated volume: 23.6 Å³/atom. The crystal system is tetragonal.

abc: 5.212 5.212 5.212
angles: 134.60 134.60 66.15
Atoms (fractional coordinates):
Dy (0.000, 0.000, 0.000)
Sb (0.339, 0.339, 0.000)
Pd (0.653, 0.653, 0.000)